[1]
Crystalline RbCaMgF6 at its relaxed geometry. Source: Alexandria via LeMat-Bulk, functional PBE.

- Uncorrected formation energy: -3065 meV per atom

abc: 7.5506 7.7231 9.8118
angles: 90.00 90.00 90.00
Space group Imma (No. 74)
Unique sites:
1 Rb 0.0000 0.2500 0.1046 [4 per cell]
2 Ca 0.0000 0.0000 0.5000 [4 per cell]
3 Mg 0.2500 0.2500 0.7500 [4 per cell]
4 F 0.0000 0.2500 0.3874 [4 per cell]
5 F 0.0000 0.2500 0.6864 [4 per cell]
6 F 0.2254 0.0506 0.8790 [16 per cell]

=====

[2]
Crystalline Sr2Li5Pt5 at its relaxed geometry. Source: Alexandria via LeMat-Bulk, functional PBE.

- ΔE_f: -0.640 eV/atom

abc: 4.0960 5.5784 9.4009
angles: 90.00 90.00 90.00
Space group Pmmm (No. 47)
Unique sites:
1 Sr 0.0000 0.0000 0.0000 [1 per cell]
2 Sr 0.0000 0.5000 0.5000 [1 per cell]
3 Li 0.0000 0.0000 0.3174 [2 per cell]
4 Li 0.0000 0.5000 0.1677 [2 per cell]
5 Li 0.5000 0.0000 0.5000 [1 per cell]
6 Pt 0.5000 0.2470 0.2517 [4 per cell]
7 Pt 0.5000 0.5000 0.0000 [1 per cell]

=====

[3]
Crystalline NaCa2NpO4 at its relaxed geometry. Source: Alexandria via LeMat-Bulk, functional PBE.

- Uncorrected formation energy: -2556 meV per atom

abc: 5.9070 3.4260 5.9231
angles: 90.00 107.84 90.00
Space group P2/m (No. 10)
Unique sites:
1 Na 0.0000 0.0000 0.0000 [1 per cell]
2 Ca 0.0000 0.5000 0.5000 [1 per cell]
3 Ca 0.5000 0.0000 0.5000 [1 per cell]
4 Np 0.5000 0.5000 0.0000 [1 per cell]
5 O 0.2518 0.0000 0.7450 [2 per cell]
6 O 0.2766 0.5000 0.2507 [2 per cell]

=====

[4]
Crystalline Gd3YC at its relaxed geometry. Source: Alexandria via LeMat-Bulk, functional PBE.

- ΔE_f: 0.004 eV/atom

abc: 5.1215 5.1215 5.1215
angles: 90.00 90.00 90.00
Space group Pm-3m (No. 221)
Unique sites:
1 Gd 0.0000 0.0000 0.5000 [3 per cell]
2 Y 0.5000 0.5000 0.5000 [1 per cell]
3 C 0.0000 0.0000 0.0000 [1 per cell]

=====

no.,Fermi-level density of states (states/eV/f.u.)
1,6.12
2,3.32
3,4.32
4,7.47